# 1
! ReS2N2 (PBE, optimized geometry); values from VASP
&SYSTEM
  ibrav = 0, nat = 5, ntyp = 3
/
ATOMIC_SPECIES
Re 186.21 Re.upf
S 32.06 S.upf
N 14.01 N.upf
CELL_PARAMETERS angstrom
3.587 0.000 0.000
0.000 3.587 0.000
0.000 0.000 4.314
ATOMIC_POSITIONS angstrom
Re 1.793 1.793 2.157
S 0.000 0.000 0.000
S 0.000 0.000 2.157
N 0.000 1.793 0.000
N 1.793 0.000 0.000
! Raw total energy = -0.2043 hartree per atom
! Density = 8.33 g/cm³
! Fermi-level density of states = 0.65 states/eV/atom
! Space-group type = P4/mmm, No. 123
! Volume = 11.10 Å³/atom
! Energy above the lowest structure with this stoichiometry = 1144.2 meV/atom
! Formation energy without anion corrections = 1.91 eV/atom


# 2
! ReSN3 (PBE, optimized geometry); values from VASP
&SYSTEM
  ibrav = 0, nat = 5, ntyp = 3
/
ATOMIC_SPECIES
Re 186.21 Re.upf
S 32.06 S.upf
N 14.01 N.upf
CELL_PARAMETERS angstrom
3.911 0.000 0.000
0.000 3.911 0.000
0.000 0.000 3.911
ATOMIC_POSITIONS angstrom
Re 0.000 0.000 0.000
S 1.955 1.955 1.955
N 0.000 1.955 0.000
N 0.000 0.000 1.955
N 1.955 0.000 0.000
! Raw total energy = -0.2562 hartree per atom
! Density = 7.23 g/cm³
! Fermi-level density of states = 0.76 states/eV/atom
! Space-group type = Pm-3m, No. 221
! Volume = 11.96 Å³/atom
! Formation energy without anion corrections = 1.34 eV/atom


# 3
! ScReSN2 (PBE, optimized geometry); values from VASP
&SYSTEM
  ibrav = 0, nat = 5, ntyp = 4
/
ATOMIC_SPECIES
Sc 44.96 Sc.upf
Re 186.21 Re.upf
S 32.06 S.upf
N 14.01 N.upf
CELL_PARAMETERS angstrom
-3.185 2.220 1.202
-1.212 0.353 -3.863
-2.692 -4.116 0.469
ATOMIC_POSITIONS angstrom
Sc 0.000 0.000 0.000
Re -3.544 -0.772 -1.096
S -1.346 -2.058 0.234
N -0.606 0.176 -1.931
N -1.592 1.110 0.601
! Raw total energy = -0.2428 hartree per atom
! Density = 5.93 g/cm³
! Fermi-level density of states = 0.66 states/eV/atom
! Space-group type = P4/mmm, No. 123
! Volume = 16.32 Å³/atom
! Energy above the lowest structure with this stoichiometry = 1534.4 meV/atom
! Formation energy without anion corrections = 1.31 eV/atom


# 4
! ScReSN2 (PBE, optimized geometry); values from VASP
&SYSTEM
  ibrav = 0, nat = 5, ntyp = 4
/
ATOMIC_SPECIES
Sc 44.96 Sc.upf
Re 186.21 Re.upf
S 32.06 S.upf
N 14.01 N.upf
CELL_PARAMETERS angstrom
-2.432 0.366 2.954
-0.220 -3.826 0.293
3.839 0.021 3.158
ATOMIC_POSITIONS angstrom
Sc 0.594 -1.720 3.202
Re 0.000 0.000 0.000
S 1.920 0.010 1.579
N -0.110 -1.913 0.146
N -1.216 0.183 1.477
! Raw total energy = -0.2992 hartree per atom
! Density = 6.59 g/cm³
! Fermi-level density of states = 0.52 states/eV/atom
! Space-group type = P4/mmm, No. 123
! Volume = 14.69 Å³/atom
! Energy above the lowest structure with this stoichiometry = 0.0 meV/atom
! Formation energy without anion corrections = -0.23 eV/atom


# 5
! ReSe2SN (PBE, optimized geometry); values from VASP
&SYSTEM
  ibrav = 0, nat = 5, ntyp = 4
/
ATOMIC_SPECIES
Re 186.21 Re.upf
S 32.06 S.upf
Se 78.96 Se.upf
N 14.01 N.upf
CELL_PARAMETERS angstrom
4.913 0.000 0.000
0.000 4.913 0.000
0.000 0.000 3.209
ATOMIC_POSITIONS angstrom
Re 2.456 2.456 1.604
S 0.000 0.000 0.000
Se 0.000 2.456 0.000
Se 2.456 0.000 0.000
N 0.000 0.000 1.604
! Raw total energy = -0.1831 hartree per atom
! Density = 8.37 g/cm³
! Fermi-level density of states = 0.78 states/eV/atom
! Space-group type = P4/mmm, No. 123
! Volume = 15.49 Å³/atom
! Energy above the lowest structure with this stoichiometry = 808.3 meV/atom
! Formation energy without anion corrections = 1.39 eV/atom


# 6
! ReSeSN2 (PBE, optimized geometry); values from VASP
&SYSTEM
  ibrav = 0, nat = 5, ntyp = 4
/
ATOMIC_SPECIES
Re 186.21 Re.upf
S 32.06 S.upf
Se 78.96 Se.upf
N 14.01 N.upf
CELL_PARAMETERS angstrom
3.790 0.000 0.000
0.000 3.790 0.000
0.000 0.000 5.601
ATOMIC_POSITIONS angstrom
Re 0.000 0.000 0.000
S 1.895 1.895 2.801
Se 0.000 0.000 2.801
N 0.000 1.895 0.000
N 1.895 0.000 0.000
! Raw total energy = -0.2464 hartree per atom
! Density = 6.71 g/cm³
! Fermi-level density of states = 0.59 states/eV/atom
! Space-group type = P4/mmm, No. 123
! Volume = 16.09 Å³/atom
! Energy above the lowest structure with this stoichiometry = 0.0 meV/atom
! Formation energy without anion corrections = 0.64 eV/atom


# 7
! ReSeSN2 (PBE, optimized geometry); values from VASP
&SYSTEM
  ibrav = 0, nat = 5, ntyp = 4
/
ATOMIC_SPECIES
Re 186.21 Re.upf
S 32.06 S.upf
Se 78.96 Se.upf
N 14.01 N.upf
CELL_PARAMETERS angstrom
3.492 0.000 0.000
0.000 3.492 0.000
0.000 0.000 6.756
ATOMIC_POSITIONS angstrom
Re 1.746 1.746 3.378
S 0.000 0.000 0.000
Se 0.000 0.000 3.378
N 0.000 1.746 0.000
N 1.746 0.000 0.000
! Raw total energy = -0.1978 hartree per atom
! Density = 6.55 g/cm³
! Fermi-level density of states = 0.77 states/eV/atom
! Space-group type = P4/mmm, No. 123
! Volume = 16.48 Å³/atom
! Energy above the lowest structure with this stoichiometry = 1321.1 meV/atom
! Formation energy without anion corrections = 1.96 eV/atom


# 8
! ReSe2SN (PBE, optimized geometry); values from VASP
&SYSTEM
  ibrav = 0, nat = 5, ntyp = 4
/
ATOMIC_SPECIES
Re 186.21 Re.upf
S 32.06 S.upf
Se 78.96 Se.upf
N 14.01 N.upf
CELL_PARAMETERS angstrom
-0.358 -0.851 4.894
2.515 -4.262 -0.557
3.218 1.826 0.553
ATOMIC_POSITIONS angstrom
Re 0.000 0.000 0.000
S 2.687 -1.644 2.445
Se 1.257 -2.131 -0.279
Se -0.179 -0.426 2.447
N 1.609 0.913 0.276
! Raw total energy = -0.2128 hartree per atom
! Density = 6.98 g/cm³
! Fermi-level density of states = 0.77 states/eV/atom
! Space-group type = P4/mmm, No. 123
! Volume = 18.56 Å³/atom
! Energy above the lowest structure with this stoichiometry = 0.0 meV/atom
! Formation energy without anion corrections = 0.58 eV/atom